Record 1
VASP calculation (PBE-GGA) on TcAuNO2 after structural relaxation.

Cell: 3.8436 3.8436 4.0609 Å, 90.00 90.00 90.00°
Atoms (fractional coordinates):
1 Au 0.5000 0.5000 0.5000
2 N 0.0000 0.0000 0.5000
3 O 0.0000 0.5000 0.0000
4 O 0.5000 0.0000 0.0000
5 Tc 0.0000 0.0000 0.0000

- Total magnetic moment: 0.0 μB per formula unit
- Raw total energy: -6.36 eV per atom
- V: 60 Å³/cell
- Symmetry: P4/mmm


Record 2
VASP calculation (PBE-GGA) on TcAuN2O after structural relaxation.

Cell: 4.0625 4.0625 4.0200 Å, 90.00 90.00 90.00°
Last column: magnetic moment on the atom in μB.
Atoms (fractional coordinates):
1 O 0.0000 0.0000 0.5000  0.16
2 N 0.0000 0.5000 0.0000  -0.37
3 N 0.5000 0.0000 0.0000  -0.37
4 Au 0.0000 0.0000 0.0000  -0.05
5 Tc 0.5000 0.5000 0.5000  3.58

- Total magnetic moment: 3.1 μB per formula unit
- Raw total energy: -5.09 eV per atom
- V: 66 Å³/cell
- Symmetry: P4/mmm


Record 3
VASP calculation (PBE-GGA) on TeAuNO2 after structural relaxation.

Cell: 4.0780 4.0780 4.1659 Å, 90.00 90.00 90.00°
Atoms (fractional coordinates):
1 Au 0.0000 0.0000 0.0000
2 O 0.0000 0.5000 0.0000
3 O 0.5000 0.0000 0.0000
4 N 0.0000 0.0000 0.5000
5 Te 0.5000 0.5000 0.5000

- Total magnetic moment: 0.0 μB per formula unit
- Raw total energy: -3.96 eV per atom
- V: 69 Å³/cell
- Symmetry: P4/mmm


Record 4
VASP calculation (PBE-GGA) on TeAuNO2 after structural relaxation.

Cell: 3.9271 3.9271 4.3476 Å, 90.00 90.00 90.00°
Atoms (fractional coordinates):
1 N 0.0000 0.0000 0.5000
2 Au 0.5000 0.5000 0.5000
3 O 0.5000 0.0000 0.0000
4 O 0.0000 0.5000 0.0000
5 Te 0.0000 0.0000 0.0000

- Total magnetic moment: 0.0 μB per formula unit
- Raw total energy: -4.40 eV per atom
- V: 67 Å³/cell
- Symmetry: P4/mmm


Record 5
VASP calculation (PBE-GGA) on TlAuNO2 after structural relaxation.

Cell: 4.2842 4.2842 3.9027 Å, 90.00 90.00 90.00°
Atoms (fractional coordinates):
1 Tl 0.5000 0.5000 0.5000
2 Au 0.0000 0.0000 0.0000
3 O 0.5000 0.0000 0.0000
4 O 0.0000 0.5000 0.0000
5 N 0.0000 0.0000 0.5000

- Total magnetic moment: 0.0 μB per formula unit
- Raw total energy: -4.00 eV per atom
- V: 72 Å³/cell
- Symmetry: P4/mmm


Record 6
VASP calculation (PBE-GGA) on TlAuN2O after structural relaxation.

Cell: 4.0952 4.0952 4.6087 Å, 90.00 90.00 90.00°
Last column: magnetic moment on the atom in μB.
Atoms (fractional coordinates):
1 Au 0.0000 0.0000 0.0000  0.21
2 Tl 0.5000 0.5000 0.5000  0.09
3 N 0.5000 0.0000 0.0000  0.94
4 N 0.0000 0.5000 0.0000  0.94
5 O 0.0000 0.0000 0.5000  0.22

- Total magnetic moment: 3.2 μB per formula unit
- Raw total energy: -4.01 eV per atom
- V: 77 Å³/cell
- Symmetry: P4/mmm


Record 7
VASP calculation (PBE-GGA) on TlAuN2O after structural relaxation.

Cell: 4.4204 4.4204 4.3149 Å, 90.00 90.00 90.00°
Last column: magnetic moment on the atom in μB.
Atoms (fractional coordinates):
1 Tl 0.0000 0.0000 0.0000  0.03
2 O 0.0000 0.0000 0.5000  0.48
3 Au 0.5000 0.5000 0.5000  0.13
4 N 0.5000 0.0000 0.0000  1.06
5 N 0.0000 0.5000 0.0000  1.06

- Total magnetic moment: 3.6 μB per formula unit
- Raw total energy: -3.48 eV per atom
- V: 84 Å³/cell
- Symmetry: P4/mmm


Record 8
VASP calculation (PBE-GGA) on TlAuNO2 after structural relaxation.

Cell: 4.3147 4.3147 4.4049 Å, 90.00 90.00 90.00°
Last column: magnetic moment on the atom in μB.
Atoms (fractional coordinates):
1 Au 0.5000 0.5000 0.5000  0.16
2 Tl 0.0000 0.0000 0.0000  0.02
3 N 0.0000 0.0000 0.5000  1.11
4 O 0.0000 0.5000 0.0000  0.42
5 O 0.5000 0.0000 0.0000  0.42

- Total magnetic moment: 2.7 μB per formula unit
- Raw total energy: -3.50 eV per atom
- V: 82 Å³/cell
- Symmetry: P4/mmm


- V of number 2 (TcAuN2O)?
  66 Å³/cell


- Which value of V does entry 6 give?
  77 Å³/cell


What did the third record say?
VASP calculation (PBE-GGA) on TeAuNO2 after structural relaxation.

Cell: 4.0780 4.0780 4.1659 Å, 90.00 90.00 90.00°
Atoms (fractional coordinates):
1 Au 0.0000 0.0000 0.0000
2 O 0.0000 0.5000 0.0000
3 O 0.5000 0.0000 0.0000
4 N 0.0000 0.0000 0.5000
5 Te 0.5000 0.5000 0.5000

- Total magnetic moment: 0.0 μB per formula unit
- Raw total energy: -3.96 eV per atom
- V: 69 Å³/cell
- Symmetry: P4/mmm


- Which value of raw total energy does entry 4 give?
  -4.40 eV per atom